Computed, not measured: a geometry-optimized TlCoNi2 structure at the PBE-GGA level of DFT.

a b c (Å): 4.4857 4.4857 4.5860
angles (deg): 77.17 77.17 38.85
Fractional positions:
Ni1 0.7403 0.7403 0.7889
Ni2 0.9992 0.9992 0.0085
Tl1 0.4993 0.4993 0.5061
Co1 0.2612 0.2612 0.1965

Properties
V   56.3 Å³ per cell
Formation energy from the elements   0.36 eV/atom
Energy above the lowest structure with this stoichiometry   43 meV/atom
SG   Cm, No. 8

---

Computed, not measured: a geometry-optimized TlCoNi structure at the PBE-GGA level of DFT.

a b c (Å): 2.9971 2.9971 6.1541
angles (deg): 90.00 90.00 120.00
Fractional positions:
Co1 0.0000 0.0000 0.0304
Ni1 0.6667 0.3333 0.3053
Tl1 0.3333 0.6667 0.6643

Properties
V   47.9 Å³ per cell
Formation energy from the elements   0.62 eV/atom
Energy above the lowest structure with this stoichiometry   168 meV/atom
SG   P3m1, No. 156

---

Computed, not measured: a geometry-optimized TlCoNi2 structure at the PBE-GGA level of DFT.

a b c (Å): 8.1927 8.1927 8.1927
angles (deg): 20.50 20.50 20.50
Fractional positions:
Ni1 0.9905 0.9905 0.9905
Ni2 0.5095 0.5095 0.5095
Co1 0.2500 0.2500 0.2500
Tl1 0.7500 0.7500 0.7500

Properties
V   59.0 Å³ per cell
Formation energy from the elements   0.55 eV/atom
Energy above the lowest structure with this stoichiometry   236 meV/atom
SG   R-3m, No. 166

---

Q: The lowest V belongs to which entry?
A: TlCoNi

---

Q: What is the formula in the third record?
A: TlCoNi2

---

Q: Number 2 is which compound?
A: TlCoNi